DFT (PBE) results for a geometry-optimized Hf3TaAu structure.

```
Hf3TaAu
1.0
5.044 0.000 0.000
0.000 5.044 0.000
0.000 0.000 5.044
Hf Au Ta
3 1 1
Direct
0.000 0.000 0.500
0.500 0.000 0.000
0.000 0.500 0.000
0.000 0.000 0.000
0.500 0.500 0.500
```

formation energy from the elements	1.085	eV/atom
spin magnetization	2.0	μB per formula unit
total DFT energy (no corrections)	-7.9126	eV/atom
excess energy over the best structure of this formula in the dataset	10	meV per atom
density	11.82	g/cm3

---

DFT (PBE) results for a geometry-optimized CaSiW structure.

```
CaSiW
1.0
-2.474 -4.093 -5.125
-2.927 -5.630 -2.642
-2.690 1.069 -0.592
Si Ca W
1 1 1
Direct
0.317 0.317 0.683
0.995 0.995 0.005
0.688 0.688 0.312
```

spin magnetization	0.0	μB per formula unit
total DFT energy (no corrections)	-6.4916	eV/atom
density	7.42	g/cm3
ΔE_f (raw)	0.30	eV per atom

---

DFT (PBE) results for a geometry-optimized Ac4Se3O2 structure.

```
Ac4Se3O2
1.0
4.108 0.000 1.024
1.581 6.700 2.410
0.043 -0.503 8.579
Ac Se O
4 3 2
Direct
0.314 0.263 0.108
0.894 0.816 0.396
0.686 0.737 0.892
0.106 0.184 0.604
0.388 0.509 0.716
0.612 0.491 0.284
0.000 0.000 0.000
0.691 0.988 0.629
0.309 0.012 0.371
```

spin magnetization	0.0	μB per formula unit
total DFT energy (no corrections)	-6.5382	eV/atom
excess energy over the best structure of this formula in the dataset	0	meV per atom
density	8.14	g/cm3
ΔE_f (raw)	-2.45	eV per atom

---

DFT (PBE) results for a geometry-optimized LiNpAl2O8 structure.

```
LiNpAl2O8
1.0
5.744 0.206 0.000
-2.363 5.240 0.000
-1.691 -2.723 4.771
O Li Al Np
8 1 2 1
Direct
0.341 0.128 0.787
0.937 0.632 0.695
0.446 0.659 0.787
0.341 0.554 0.213
0.368 0.063 0.305
0.872 0.659 0.213
0.937 0.242 0.305
0.758 0.063 0.695
0.000 0.000 0.000
0.500 0.500 0.000
0.750 0.250 0.500
0.250 0.750 0.500
```

spin magnetization	2.0	μB per formula unit
total DFT energy (no corrections)	-7.1855	eV/atom
density	4.85	g/cm3
ΔE_f (raw)	-2.02	eV per atom

---

DFT (PBE) results for a geometry-optimized Pm3Sm2N4 structure.

```
Pm3Sm2N4
1.0
3.610 0.000 0.004
-1.805 3.126 -0.004
0.001 0.000 15.070
N Pm Sm
4 3 2
Direct
0.666 0.334 0.101
0.001 0.999 0.700
0.999 0.001 0.300
0.334 0.666 0.899
0.666 0.334 0.380
0.000 0.000 0.000
0.334 0.666 0.620
0.667 0.333 0.811
0.333 0.667 0.189
```

spin magnetization	0.4	μB per formula unit
total DFT energy (no corrections)	-7.6277	eV/atom
density	7.73	g/cm3
ΔE_f (raw)	-1.30	eV per atom

---

DFT (PBE) results for a geometry-optimized HfGaSi3 structure.

```
HfGaSi3
1.0
4.657 0.000 0.000
0.000 4.657 0.000
0.000 0.000 4.657
Si Hf Ga
3 1 1
Direct
0.000 0.000 0.500
0.500 0.000 0.000
0.000 0.500 0.000
0.500 0.500 0.500
0.000 0.000 0.000
```

spin magnetization	0.0	μB per formula unit
total DFT energy (no corrections)	-4.9177	eV/atom
excess energy over the best structure of this formula in the dataset	223	meV per atom
density	5.47	g/cm3
ΔE_f (raw)	0.93	eV per atom

---

DFT (PBE) results for a geometry-optimized BaSrSc2Hg structure.

```
BaSrSc2Hg
1.0
-4.040 1.432 -3.580
3.597 -1.544 -4.676
-2.005 -5.209 0.178
Sc Ba Sr Hg
2 1 1 1
Direct
0.500 0.000 0.000
0.000 0.000 0.500
0.000 0.000 0.000
0.500 0.500 0.500
0.000 0.500 0.000
```

formation energy from the elements	0.766	eV/atom
spin magnetization	0.0	μB per formula unit
total DFT energy (no corrections)	-2.5480	eV/atom
density	4.50	g/cm3

---

DFT (PBE) results for a geometry-optimized FeAgOs2 structure.

```
FeAgOs2
1.0
5.082 0.019 0.025
4.348 2.631 0.025
1.195 0.336 4.419
Fe Os Ag
1 2 1
Direct
0.250 0.250 0.250
0.972 0.972 0.027
0.528 0.528 0.473
0.750 0.750 0.750
```

formation energy from the elements	0.448	eV/atom
spin magnetization	2.3	μB per formula unit
total DFT energy (no corrections)	-7.9954	eV/atom
excess energy over the best structure of this formula in the dataset	99	meV per atom
density	15.41	g/cm3

---

DFT (PBE) results for a geometry-optimized PmCdAg3 structure.

```
PmCdAg3
1.0
5.740 0.000 0.081
0.000 5.856 0.000
0.128 0.000 6.535
Pm Ag Cd
2 6 2
Direct
0.656 0.750 0.339
0.344 0.250 0.661
0.851 0.997 0.828
0.851 0.503 0.828
0.142 0.750 0.541
0.858 0.250 0.459
0.149 0.003 0.172
0.149 0.497 0.172
0.578 0.250 0.123
0.422 0.750 0.877
```

formation energy from the elements	-0.198	eV/atom
spin magnetization	0.0	μB per formula unit
total DFT energy (no corrections)	-3.0415	eV/atom
excess energy over the best structure of this formula in the dataset	0	meV per atom
density	8.79	g/cm3

---

DFT (PBE) results for a geometry-optimized Ta7Mo structure.

```
Ta7Mo
1.0
-1.694 -0.663 2.748
3.547 -2.598 1.560
3.696 7.501 4.088
Ta Mo
7 1
Direct
0.000 0.500 0.747
0.500 0.000 0.760
0.000 0.000 0.500
0.500 0.500 0.000
0.000 0.500 0.253
0.500 0.000 0.240
0.500 0.500 0.500
0.000 0.000 0.000
```

formation energy from the elements	-0.049	eV/atom
spin magnetization	0.0	μB per formula unit
total DFT energy (no corrections)	-11.7738	eV/atom
excess energy over the best structure of this formula in the dataset	5	meV per atom
density	15.81	g/cm3

---

DFT (PBE) results for a geometry-optimized CePrSmSn structure.

```
CePrSmSn
1.0
5.503 0.000 0.000
2.752 4.766 0.000
2.752 1.589 4.493
Pr Sm Ce Sn
1 1 1 1
Direct
0.000 0.000 0.000
0.500 0.500 0.500
0.750 0.750 0.750
0.250 0.250 0.250
```

formation energy from the elements	-0.212	eV/atom
spin magnetization	0.5	μB per formula unit
total DFT energy (no corrections)	-5.0710	eV/atom
density	7.75	g/cm3

---

DFT (PBE) results for a geometry-optimized NaAlAs2 structure.

```
NaAlAs2
1.0
-4.939 -5.644 0.516
3.281 -3.405 -5.844
1.026 -5.975 -0.777
Al As Na
2 4 2
Direct
0.000 0.000 0.000
0.750 0.250 0.500
0.875 0.921 0.750
0.671 0.125 0.250
0.079 0.625 0.250
0.375 0.329 0.750
0.500 0.500 0.000
0.250 0.750 0.500
```

formation energy from the elements	-0.209	eV/atom
spin magnetization	0.0	μB per formula unit
total DFT energy (no corrections)	-3.7990	eV/atom
density	3.89	g/cm3